Here is an optimized crystal structure of AlCu2Pt from the Alexandria database. Energies are from PBEsol.

Geometry as extended XYZ:
```
4
Lattice="2.766 0.000 0.029 0.000 3.506 0.000 -0.053 0.000 5.319" Properties=species:S:1:pos:R:3 pbc="T T T"
Cu 2.765 0.000 0.098
Cu 1.371 1.753 1.227
Pt 2.739 0.000 2.742
Al 1.342 1.753 3.999
```

Output
symmetry = Pmm2, No. 25
ΔE_f = -0.4352 eV per atom